The following is a PBE-GGA calculation of crystalline BPIrI at its relaxed geometry, from Alexandria.

The density of states at the Fermi level is 1.31 states/eV/f.u. Its total DFT energy (no corrections) is -43.2 eV per cell. The calculation puts the relative energy among the computed polymorphs at 0.090 eV per atom. Its theoretical density is 6.49 Mg/m³. The raw formation energy comes out at 0.224 eV/atom.

The structure belongs to space group Cm (No. 8); the cell edges are 14.7783, 3.4347 and 3.6402 Å and the angles 90.00°, 92.44° and 90.00°. Symmetry generates all atoms from B at (0.0000, 0.0000, 0.0000), P at (0.0600, 0.0000, 0.5353), Ir at (0.4575, 0.0000, 0.2789) and I at (0.3132, 0.5000, 0.2377).